The following is a GGA-PBE calculation of LiTb2PrHg4 after structural relaxation, from the Alexandria database.

Lattice parameters (Å, degrees): 9.346 9.346 9.346 32.01 32.01 32.01
Positions (direct):
Li1 0.000 0.000 0.000
Tb1 0.257 0.257 0.257
Tb2 0.743 0.743 0.743
Pr1 0.500 0.500 0.500
Hg1 0.116 0.116 0.116
Hg2 0.373 0.373 0.373
Hg3 0.627 0.627 0.627
Hg4 0.884 0.884 0.884

Values from the calculation:
DFT formation energy: -0.44 eV/atom

=====

The following is a GGA-PBE calculation of Tb8Dy2Mg after structural relaxation, from the Alexandria database.

Lattice parameters (Å, degrees): 8.741 8.741 6.676 100.64 100.64 44.40
Positions (direct):
Tb1 0.096 0.096 0.916
Tb2 0.158 0.679 0.614
Tb3 0.255 0.255 0.685
Tb4 0.321 0.842 0.386
Tb5 0.679 0.158 0.614
Tb6 0.745 0.745 0.315
Tb7 0.842 0.321 0.386
Tb8 0.904 0.904 0.084
Dy1 0.313 0.313 0.205
Dy2 0.687 0.687 0.795
Mg1 0.500 0.500 0.000

Values from the calculation:
distance to the lowest polymorph of the same formula: 0.0 kJ/mol of formula units
DFT formation energy: 0.15 eV/atom

=====

The following is a GGA-PBE calculation of CaZr4Tl after structural relaxation, from the Alexandria database.

Lattice parameters (Å, degrees): 5.992 5.992 5.992 60.00 60.00 60.00
Positions (direct):
Ca1 0.000 0.000 0.000
Zr1 0.373 0.373 0.373
Zr2 0.373 0.373 0.881
Zr3 0.373 0.881 0.373
Zr4 0.881 0.373 0.373
Tl1 0.750 0.750 0.750

Values from the calculation:
DFT formation energy: 0.28 eV/atom

=====

The following is a GGA-PBE calculation of MnSe6Br12 after structural relaxation, from the Alexandria database.

Lattice parameters (Å, degrees): 8.110 9.867 10.579 71.81 81.44 80.52
Positions (direct):
Mn1 0.000 0.000 0.000
Se1 0.231 0.071 0.605
Se2 0.379 0.806 0.620
Se3 0.495 0.830 0.408
Se4 0.505 0.170 0.592
Se5 0.621 0.194 0.380
Se6 0.769 0.929 0.395
Br1 0.069 0.215 0.051
Br2 0.110 0.845 0.202
Br3 0.186 0.155 0.375
Br4 0.283 0.962 0.882
Br5 0.298 0.361 0.878
Br6 0.481 0.499 0.265
Br7 0.519 0.501 0.735
Br8 0.702 0.639 0.122
Br9 0.717 0.038 0.118
Br10 0.814 0.845 0.625
Br11 0.890 0.155 0.798
Br12 0.931 0.785 0.949

=====

Number 1: final energy -20.70 eV per cell. Number 2: final energy -46.14 eV per cell. Number 3: final energy -36.89 eV per cell. Number 4: final energy -53.36 eV per cell.